# 1
Material: YMgBi2
Method: DFT, PBE
State: relaxed

Cell and atoms, written as CIF:
```
data_YMgBi2
_chemical_formula_sum 'Y2 Mg2 Bi4'
_space_group_name_H-M_alt 'P 1'
_space_group_IT_number 1
_space_group_name_Hall 'P 1'
_cell_length_a 8.1782
_cell_length_b 8.1782
_cell_length_c 6.8206
_cell_angle_alpha 53.16
_cell_angle_beta 53.16
_cell_angle_gamma 90.00
loop_
_atom_site_label
_atom_site_type_symbol
_atom_site_fract_x
_atom_site_fract_y
_atom_site_fract_z
Mg1 Mg 0.5000 0.5000 0.0000
Mg2 Mg 0.2500 0.7500 0.5000
Y1 Y 0.0000 0.0000 0.0000
Y2 Y 0.7500 0.2500 0.5000
Bi1 Bi 0.1457 0.6250 0.2500
Bi2 Bi 0.8750 0.8543 0.7500
Bi3 Bi 0.3750 0.3957 0.7500
Bi4 Bi 0.6043 0.1250 0.2500
```

Computed properties:
E_tot in eV per atom: -4.27
N(E_F) in states/eV per cell: 3.9

# 2
Material: YMg6Bi
Method: DFT, PBE
State: relaxed

Cell and atoms, written as CIF:
```
data_YMg6Bi
_chemical_formula_sum 'Y1 Mg6 Bi1'
_space_group_name_H-M_alt 'P 1'
_space_group_IT_number 1
_space_group_name_Hall 'P 1'
_cell_length_a 6.7216
_cell_length_b 6.7216
_cell_length_c 5.3018
_cell_angle_alpha 90.00
_cell_angle_beta 90.00
_cell_angle_gamma 123.40
loop_
_atom_site_label
_atom_site_type_symbol
_atom_site_fract_x
_atom_site_fract_y
_atom_site_fract_z
Mg1 Mg 0.1716 0.3145 0.0000
Mg2 Mg 0.1646 0.8354 0.0000
Mg3 Mg 0.8280 0.6695 0.5000
Mg4 Mg 0.6628 0.3372 0.0000
Mg5 Mg 0.6855 0.8284 0.0000
Mg6 Mg 0.3305 0.1720 0.5000
Y1 Y 0.8269 0.1731 0.5000
Bi1 Bi 0.3301 0.6699 0.5000
```

Computed properties:
Relative energy among the computed polymorphs in eV/atom: 0.000
N(E_F) in states/eV per cell: 4.6

Table of magnetization (Bohr magnetons per cell), in record order: 0.00, 0.00